<a>
# NaSr3Ni PBE optimized geometry
data_NaSr3Ni
_chemical_formula_sum 'Na4 Sr12 Ni4'
_cell_length_a 7.1179
_cell_length_b 19.4860
_cell_length_c 7.3463
_cell_angle_alpha 90.00
_cell_angle_beta 90.00
_cell_angle_gamma 90.00
_space_group_name_H-M_alt 'C m c m'
_space_group_IT_number 63
_space_group_name_Hall '-C 2c 2'
loop_
_atom_site_label
_atom_site_type_symbol
_atom_site_fract_x
_atom_site_fract_y
_atom_site_fract_z
Na1 Na 0.0000 0.1661 0.2500
Sr1 Sr 0.0000 0.0000 0.0000
Sr2 Sr 0.2426 0.3396 0.2500
Ni1 Ni 0.0000 0.4562 0.2500
# - ρ (g/cm³) = 2.25

<b>
# NaSr3Ni PBE optimized geometry
data_NaSr3Ni
_chemical_formula_sum 'Na6 Sr18 Ni6'
_cell_length_a 7.4216
_cell_length_b 7.4216
_cell_length_c 27.9346
_cell_angle_alpha 90.00
_cell_angle_beta 90.00
_cell_angle_gamma 120.00
_space_group_name_H-M_alt 'R -3'
_space_group_IT_number 148
_space_group_name_Hall '-R 3'
loop_
_atom_site_label
_atom_site_type_symbol
_atom_site_fract_x
_atom_site_fract_y
_atom_site_fract_z
Na1 Na 0.0000 0.0000 0.1669
Sr1 Sr 0.0064 0.6599 0.0589
Ni1 Ni 0.0000 0.0000 0.3309
# - ρ (g/cm³) = 2.58

Most stable structure - <b>; separation to the second - 561 meV/atom.

<a>
# Na2SrNi2 PBE optimized geometry
data_Na2SrNi2
_chemical_formula_sum 'Na4 Sr2 Ni4'
_cell_length_a 7.2271
_cell_length_b 7.2271
_cell_length_c 4.7577
_cell_angle_alpha 90.00
_cell_angle_beta 90.00
_cell_angle_gamma 90.00
_space_group_name_H-M_alt 'P 4/m b m'
_space_group_IT_number 127
_space_group_name_Hall '-P 4 2ab'
loop_
_atom_site_label
_atom_site_type_symbol
_atom_site_fract_x
_atom_site_fract_y
_atom_site_fract_z
Na1 Na 0.1529 0.3471 0.0000
Sr1 Sr 0.0000 0.0000 0.5000
Ni1 Ni 0.1120 0.6120 0.5000
# - ρ (g/cm³) = 3.35

<b>
# Na2SrNi2 PBE optimized geometry
data_Na2SrNi2
_chemical_formula_sum 'Na4 Sr2 Ni4'
_cell_length_a 4.2957
_cell_length_b 4.2957
_cell_length_c 12.9215
_cell_angle_alpha 90.00
_cell_angle_beta 90.00
_cell_angle_gamma 90.00
_space_group_name_H-M_alt 'I 4/m m m'
_space_group_IT_number 139
_space_group_name_Hall '-I 4 2'
loop_
_atom_site_label
_atom_site_type_symbol
_atom_site_fract_x
_atom_site_fract_y
_atom_site_fract_z
Na1 Na 0.0000 0.5000 0.2500
Sr1 Sr 0.0000 0.0000 0.0000
Ni1 Ni 0.0000 0.0000 0.4127
# - ρ (g/cm³) = 3.50

Most stable structure - <b>; separation to the second - 125 meV/atom.

<a>
# NaSr2Ni PBE optimized geometry
data_NaSr2Ni
_chemical_formula_sum 'Na4 Sr8 Ni4'
_cell_length_a 9.0500
_cell_length_b 9.0500
_cell_length_c 7.2510
_cell_angle_alpha 90.00
_cell_angle_beta 90.00
_cell_angle_gamma 90.00
_space_group_name_H-M_alt 'I -4 2 d'
_space_group_IT_number 122
_space_group_name_Hall 'I -4 2bw'
loop_
_atom_site_label
_atom_site_type_symbol
_atom_site_fract_x
_atom_site_fract_y
_atom_site_fract_z
Na1 Na 0.0000 0.0000 0.0000
Sr1 Sr 0.1660 0.2500 0.6250
Ni1 Ni 0.0000 0.0000 0.5000
# - ρ (g/cm³) = 2.87

<b>
# NaSr2Ni PBE optimized geometry
data_NaSr2Ni
_chemical_formula_sum 'Na4 Sr8 Ni4'
_cell_length_a 15.4936
_cell_length_b 4.1389
_cell_length_c 10.7322
_cell_angle_alpha 90.00
_cell_angle_beta 116.30
_cell_angle_gamma 90.00
_space_group_name_H-M_alt 'C 1 2/m 1'
_space_group_IT_number 12
loop_
_space_group_symop_operation_xyz
'x,y,z'
'-x,-y,-z'
'-x,y,-z'
'x,-y,z'
'x+1/2,y+1/2,z'
'-x+1/2,-y+1/2,-z'
'-x+1/2,y+1/2,-z'
'x+1/2,-y+1/2,z'
loop_
_atom_site_label
_atom_site_type_symbol
_atom_site_fract_x
_atom_site_fract_y
_atom_site_fract_z
Na1 Na 0.1476 0.0000 0.4654
Sr1 Sr 0.0985 0.5000 0.7481
Sr2 Sr 0.1463 0.5000 0.1412
Ni1 Ni 0.2163 0.0000 0.9853
# - ρ (g/cm³) = 2.77

Most stable structure - <b>; separation to the second - 260 meV/atom.

<a>
# NaSr2Ni PBE optimized geometry
data_NaSr2Ni
_chemical_formula_sum 'Na1 Sr2 Ni1'
_cell_length_a 3.7439
_cell_length_b 3.7439
_cell_length_c 9.6765
_cell_angle_alpha 90.00
_cell_angle_beta 90.00
_cell_angle_gamma 90.00
_space_group_name_H-M_alt 'P 4/m m m'
_space_group_IT_number 123
_space_group_name_Hall '-P 4 2'
loop_
_atom_site_label
_atom_site_type_symbol
_atom_site_fract_x
_atom_site_fract_y
_atom_site_fract_z
Na1 Na 0.0000 0.0000 0.0000
Sr1 Sr 0.5000 0.5000 0.3179
Ni1 Ni 0.0000 0.0000 0.5000
# - ρ (g/cm³) = 3.15

<b>
# NaSr2Ni PBE optimized geometry
data_NaSr2Ni
_chemical_formula_sum 'Na3 Sr6 Ni3'
_cell_length_a 4.1798
_cell_length_b 4.1798
_cell_length_c 32.9473
_cell_angle_alpha 90.00
_cell_angle_beta 90.00
_cell_angle_gamma 120.00
_space_group_name_H-M_alt 'R -3 m'
_space_group_IT_number 166
_space_group_name_Hall '-R 3 2"'
loop_
_atom_site_label
_atom_site_type_symbol
_atom_site_fract_x
_atom_site_fract_y
_atom_site_fract_z
Na1 Na 0.0000 0.0000 0.0000
Sr1 Sr 0.0000 0.0000 0.1163
Ni1 Ni 0.0000 0.0000 0.5000
# - ρ (g/cm³) = 2.57

Most stable structure - <a>; separation to the second - 54 meV/atom.